{"formula": "BaZnSi4", "functional": "PBE", "state": "optimized geometry", "lattice": [[0.000, 3.908, 3.908], [3.908, 0.000, 3.908], [3.908, 3.908, 0.000]], "species": ["Ba", "Zn", "Si", "Si", "Si", "Si"], "frac_coords": [[0.000, 0.000, 0.000], [0.750, 0.750, 0.750], [0.868, 0.377, 0.377], [0.377, 0.377, 0.868], [0.377, 0.868, 0.377], [0.377, 0.377, 0.377]], "formation_energy_uncorrected_kcal_per_mol_atoms": 4.8, "e_tot_ev_per_atom": -3.940}

{"formula": "BaZn3Si", "functional": "PBE", "state": "optimized geometry", "lattice": [[4.494, 0.000, 0.732], [-0.125, 4.414, 0.768], [0.466, 0.321, 11.298]], "species": ["Ba", "Ba", "Zn", "Zn", "Zn", "Zn", "Zn", "Zn", "Si", "Si"], "frac_coords": [[0.595, 0.346, 0.809], [0.405, 0.654, 0.191], [0.030, 0.780, 0.940], [0.970, 0.220, 0.060], [0.290, 0.040, 0.421], [0.710, 0.960, 0.579], [0.217, 0.466, 0.567], [0.783, 0.534, 0.433], [0.846, 0.096, 0.308], [0.154, 0.904, 0.692]], "relative_energy_ev_per_atom": 0.000, "formation_energy_uncorrected_kcal_per_mol_atoms": -4.0, "e_tot_ev_per_atom": -2.409}

{"formula": "Ba2ZnSi", "functional": "PBE", "state": "optimized geometry", "lattice": [[-3.521, -2.236, -1.642], [-1.994, -1.610, 6.470], [-3.912, 8.149, -2.709]], "species": ["Ba", "Ba", "Ba", "Ba", "Zn", "Zn", "Si", "Si"], "frac_coords": [[0.750, 0.208, 0.421], [0.250, 0.792, 0.579], [0.250, 0.776, 0.066], [0.750, 0.224, 0.934], [0.250, 0.411, 0.231], [0.750, 0.589, 0.769], [0.750, 0.624, 0.284], [0.250, 0.376, 0.716]], "relative_energy_ev_per_atom": 0.003, "formation_energy_uncorrected_kcal_per_mol_atoms": -6.0, "e_tot_ev_per_atom": -2.896}